[1]
A plane-wave DFT calculation with GGA-PBE was carried out for Co2CuRh after structural relaxation.

## Properties
- V: 49 Å³ per cell
- Energy: -6.29 eV/atom
- Space group: P4/mmm

Structure (POSCAR):
```
Co2CuRh
1.0
3.633 0.000 0.000
0.000 3.640 0.000
0.000 0.000 3.717
Co Rh Cu
2 1 1
Direct
0.500 0.500 0.000
0.000 0.000 0.000
0.000 0.500 0.500
0.500 0.000 0.500
```


[2]
A plane-wave DFT calculation with GGA-PBE was carried out for Co2CuRh after structural relaxation.

## Properties
- V: 49 Å³ per cell
- Energy: -6.28 eV/atom
- Space group: R3m

Structure (POSCAR):
```
Co2CuRh
1.0
2.604 0.000 0.000
1.302 2.255 0.000
1.302 0.752 8.410
Cu Co Rh
1 2 1
Direct
0.500 0.500 0.500
0.084 0.084 0.747
0.249 0.249 0.253
0.667 0.667 0.000
```


[3]
A plane-wave DFT calculation with GGA-PBE was carried out for Co2CuRh after structural relaxation.

## Properties
- V: 49 Å³ per cell
- Energy: -6.32 eV/atom
- Space group: R3m

Structure (POSCAR):
```
Co2CuRh
1.0
-2.181 -3.386 7.470
0.398 -3.740 7.608
-0.646 -1.465 8.335
Co Rh Cu
2 1 1
Direct
0.996 0.996 0.996
0.253 0.253 0.253
0.748 0.748 0.748
0.503 0.503 0.503
```


[4]
A plane-wave DFT calculation with GGA-PBE was carried out for CoCu2Rh after structural relaxation.

## Properties
- V: 50 Å³ per cell
- Energy: -5.57 eV/atom
- Space group: R3m

Structure (POSCAR):
```
CoCu2Rh
1.0
-6.044 -0.572 -5.989
-7.480 -1.265 -3.894
-7.144 1.281 -4.476
Cu Co Rh
2 1 1
Direct
0.001 0.001 0.001
0.252 0.252 0.252
0.749 0.749 0.749
0.498 0.498 0.498
```


[5]
A plane-wave DFT calculation with GGA-PBE was carried out for CoCu2Rh after structural relaxation.

## Properties
- V: 50 Å³ per cell
- Energy: -5.51 eV/atom
- Space group: Cmmm

Structure (POSCAR):
```
CoCu2Rh
1.0
-2.647 0.395 3.666
2.433 -3.831 0.053
1.936 1.247 1.264
Cu Co Rh
2 1 1
Direct
0.500 0.500 0.000
0.000 0.000 0.000
0.000 0.500 0.500
0.500 0.000 0.500
```


[6]
A plane-wave DFT calculation with GGA-PBE was carried out for CoCu2Rh after structural relaxation.

## Properties
- V: 51 Å³ per cell
- Energy: -5.46 eV/atom
- Space group: Cmmm

Structure (POSCAR):
```
CoCu2Rh
1.0
-1.432 2.017 -0.664
1.221 -1.231 -1.886
-6.859 -5.213 -1.041
Co Cu Rh
1 2 1
Direct
0.500 0.500 0.750
0.000 0.000 0.991
0.000 0.000 0.509
0.500 0.500 0.250
```


[7]
A plane-wave DFT calculation with GGA-PBE was carried out for CoCu2Rh after structural relaxation.

## Properties
- V: 50 Å³ per cell
- Energy: -5.53 eV/atom
- Space group: R-3m

Structure (POSCAR):
```
CoCu2Rh
1.0
8.652 0.006 0.004
8.259 2.579 0.004
8.259 1.263 2.249
Cu Rh Co
2 1 1
Direct
0.497 0.497 0.497
0.003 0.003 0.003
0.250 0.250 0.250
0.750 0.750 0.750
```


[8]
A plane-wave DFT calculation with GGA-PBE was carried out for Co2CuRh after structural relaxation.

## Properties
- V: 50 Å³ per cell
- Energy: -6.23 eV/atom
- Space group: Cmm2

Structure (POSCAR):
```
Co2CuRh
1.0
2.552 0.003 0.000
-1.133 2.287 0.000
0.000 0.000 8.552
Co Rh Cu
2 1 1
Direct
0.000 0.000 0.012
0.500 0.500 0.243
0.500 0.500 0.755
0.000 0.000 0.490
```